{"formula": "TbDy2CdHg4", "functional": "PBE-GGA", "state": "optimized geometry", "lattice_angstrom": [[2.5758, 1.4871, 8.6670], [-2.5758, 1.4871, 8.6670], [0.0000, -2.9742, 8.6670]], "species": ["Tb", "Dy", "Dy", "Cd", "Hg", "Hg", "Hg", "Hg"], "frac_coords": [[0.0000, 0.0000, 0.0000], [0.2425, 0.2425, 0.2425], [0.7575, 0.7575, 0.7575], [0.5000, 0.5000, 0.5000], [0.1223, 0.1223, 0.1223], [0.3692, 0.3692, 0.3692], [0.6308, 0.6308, 0.6308], [0.8777, 0.8777, 0.8777]], "total_magnetization_mub_per_fu": 0.000, "space_group": "R-3m", "final_energy_ev_per_atom": -2.426, "formation_enthalpy_0k_ev_per_fu": -3.450, "dos_at_fermi_per_ev_atom": 0.51}

=====

{"formula": "Tb2DyCdHg4", "functional": "PBE-GGA", "state": "optimized geometry", "lattice_angstrom": [[2.5787, 1.4888, 8.6681], [-2.5787, 1.4888, 8.6681], [0.0000, -2.9776, 8.6681]], "species": ["Tb", "Tb", "Dy", "Cd", "Hg", "Hg", "Hg", "Hg"], "frac_coords": [[0.2425, 0.2425, 0.2425], [0.7575, 0.7575, 0.7575], [0.0000, 0.0000, 0.0000], [0.5000, 0.5000, 0.5000], [0.1220, 0.1220, 0.1220], [0.3688, 0.3688, 0.3688], [0.6312, 0.6312, 0.6312], [0.8780, 0.8780, 0.8780]], "total_magnetization_mub_per_fu": 0.000, "space_group": "R-3m", "final_energy_ev_per_atom": -2.437, "formation_enthalpy_0k_ev_per_fu": -3.512, "dos_at_fermi_per_ev_atom": 0.47}

=====

{"formula": "Dy4Tl2CdHg", "functional": "PBE-GGA", "state": "optimized geometry", "lattice_angstrom": [[2.6591, 1.5353, 8.6869], [-2.6591, 1.5353, 8.6869], [0.0000, -3.0705, 8.6869]], "species": ["Dy", "Dy", "Dy", "Dy", "Tl", "Tl", "Cd", "Hg"], "frac_coords": [[0.1234, 0.1234, 0.1234], [0.3735, 0.3735, 0.3735], [0.6265, 0.6265, 0.6265], [0.8766, 0.8766, 0.8766], [0.2476, 0.2476, 0.2476], [0.7524, 0.7524, 0.7524], [0.5000, 0.5000, 0.5000], [0.0000, 0.0000, 0.0000]], "total_magnetization_mub_per_fu": 0.740, "space_group": "R-3m", "final_energy_ev_per_atom": -3.421, "formation_enthalpy_0k_ev_per_fu": -3.012, "dos_at_fermi_per_ev_atom": 1.07}

=====

{"formula": "Dy4TlCd2Hg", "functional": "PBE-GGA", "state": "optimized geometry", "lattice_angstrom": [[2.6501, 1.5300, 8.6633], [-2.6501, 1.5300, 8.6633], [0.0000, -3.0601, 8.6633]], "species": ["Dy", "Dy", "Dy", "Dy", "Tl", "Cd", "Cd", "Hg"], "frac_coords": [[0.1234, 0.1234, 0.1234], [0.3734, 0.3734, 0.3734], [0.6266, 0.6266, 0.6266], [0.8766, 0.8766, 0.8766], [0.5000, 0.5000, 0.5000], [0.2497, 0.2497, 0.2497], [0.7503, 0.7503, 0.7503], [0.0000, 0.0000, 0.0000]], "total_magnetization_mub_per_fu": 0.459, "space_group": "R-3m", "final_energy_ev_per_atom": -3.228, "formation_enthalpy_0k_ev_per_fu": -2.914, "dos_at_fermi_per_ev_atom": 1.18}